TbCr4Cu3O12 | PBE+U | optimized geometry

Cell: 6.408 6.408 6.408 Å, 109.47 109.47 109.47°
Site moments in Bohr magnetons follow the coordinates.
Atoms (fractional coordinates):
O: 0.166 0.473 0.307  -0.01
O: 0.307 0.834 0.140  -0.01
O: 0.166 0.860 0.693  -0.01
O: 0.527 0.693 0.834  -0.01
O: 0.140 0.307 0.834  -0.01
O: 0.834 0.527 0.693  -0.01
O: 0.693 0.166 0.860  -0.01
O: 0.693 0.834 0.527  -0.01
O: 0.860 0.693 0.166  -0.01
O: 0.834 0.140 0.307  -0.01
O: 0.473 0.307 0.166  -0.01
O: 0.307 0.166 0.473  -0.01
Cu: 0.000 0.500 0.500  0.09
Cu: 0.500 0.000 0.500  0.09
Cu: 0.500 0.500 0.000  0.09
Cr: 0.500 0.000 0.000  2.89
Cr: 0.000 0.000 0.500  2.89
Cr: 0.500 0.500 0.500  2.89
Cr: 0.000 0.500 0.000  2.89
Tb: 0.000 0.000 0.000  -0.01

VASP energy	-6.94	eV/atom